A plane-wave DFT calculation with GGA-PBE was carried out for crystalline Mg2AlI at its relaxed geometry.

Values from the calculation:
The calculation puts the energy above the most stable polymorph in this dataset at 129.4 meV per atom. Its space group is No. 225. The theoretical density is 3.3 g/cm3. The density of states at the Fermi level is 1.143 states/eV per atom. The crystal system is cubic.

abc: 5.256 5.256 5.256
angles: 60.00 60.00 60.00
Sites, in units of the cell vectors:
I 0.500 0.500 0.500
Mg 0.250 0.250 0.250
Mg 0.750 0.750 0.750
Al 0.000 0.000 0.000